! Ti2PdCCl (PBE, relaxed); values from VASP
&SYSTEM
  ibrav = 0, nat = 5, ntyp = 4
/
ATOMIC_SPECIES
Ti 47.87 Ti.upf
Pd 106.42 Pd.upf
C 12.01 C.upf
Cl 35.45 Cl.upf
CELL_PARAMETERS angstrom
4.304 0.000 0.000
0.000 4.304 0.000
0.000 0.000 4.089
ATOMIC_POSITIONS angstrom
Ti 0.000 2.152 0.000
Ti 2.152 0.000 0.000
Pd 0.000 0.000 2.044
C 0.000 0.000 0.000
Cl 2.152 2.152 2.044
! Spin magnetization: 0.001 μB/cell
! DOS(E_F): 4.63 states/eV/f.u.
! Space group: No. 123

---

! Pm4CCl3 (PBE, relaxed); values from VASP
&SYSTEM
  ibrav = 0, nat = 16, ntyp = 3
/
ATOMIC_SPECIES
Pm 145.00 Pm.upf
C 12.01 C.upf
Cl 35.45 Cl.upf
CELL_PARAMETERS angstrom
10.179 0.000 0.000
0.000 7.672 0.000
0.000 0.000 5.487
ATOMIC_POSITIONS angstrom
Pm 0.000 0.935 0.000
Pm 0.000 6.417 2.745
Pm 2.191 1.756 2.744
Pm 2.898 5.916 0.000
Pm 5.089 1.255 0.002
Pm 5.089 6.737 2.744
Pm 7.281 5.916 0.000
Pm 7.987 1.756 2.744
C 0.000 1.064 2.741
C 5.089 6.608 5.484
Cl 0.000 5.697 0.002
Cl 2.359 2.845 0.000
Cl 2.730 4.826 2.744
Cl 5.089 1.974 2.746
Cl 7.448 4.826 2.744
Cl 7.819 2.845 0.000
! Spin magnetization: 0.000 μB/cell
! DOS(E_F): 2.59 states/eV/f.u.
! Space group: No. 31

---

! Pm7C2Cl2 (PBE, relaxed); values from VASP
&SYSTEM
  ibrav = 0, nat = 11, ntyp = 3
/
ATOMIC_SPECIES
Pm 145.00 Pm.upf
C 12.01 C.upf
Cl 35.45 Cl.upf
CELL_PARAMETERS angstrom
3.233 -5.627 0.000
3.233 5.627 0.000
-0.441 0.000 9.257
ATOMIC_POSITIONS angstrom
Pm 0.000 0.000 0.000
Pm 0.922 2.010 6.060
Pm 1.944 0.000 3.262
Pm 0.922 -2.010 6.060
Pm 5.104 2.010 3.198
Pm 4.082 0.000 5.996
Pm 5.104 -2.010 3.198
C 3.013 1.819 4.629
C 3.013 -1.819 4.629
Cl 1.941 0.000 7.902
Cl 4.085 0.000 1.355
! Spin magnetization: 0.000 μB/cell
! DOS(E_F): 12.55 states/eV/f.u.
! Space group: No. 12

---

! Pm2CCl (PBE, relaxed); values from VASP
&SYSTEM
  ibrav = 0, nat = 4, ntyp = 3
/
ATOMIC_SPECIES
Pm 145.00 Pm.upf
C 12.01 C.upf
Cl 35.45 Cl.upf
CELL_PARAMETERS angstrom
1.878 1.084 7.055
-1.878 1.084 7.055
0.000 -2.169 7.055
ATOMIC_POSITIONS angstrom
Pm 0.000 0.000 4.882
Pm 0.000 0.000 16.284
C 0.000 0.000 10.583
Cl 0.000 0.000 0.000
! Spin magnetization: 0.000 μB/cell
! DOS(E_F): 1.19 states/eV/f.u.
! Space group: No. 166

---

! PmCCl (PBE, relaxed); values from VASP
&SYSTEM
  ibrav = 0, nat = 6, ntyp = 3
/
ATOMIC_SPECIES
Pm 145.00 Pm.upf
C 12.01 C.upf
Cl 35.45 Cl.upf
CELL_PARAMETERS angstrom
3.590 -1.944 0.000
3.590 1.944 0.000
-0.965 0.000 10.216
ATOMIC_POSITIONS angstrom
Pm 0.917 0.000 1.522
Pm 5.297 0.000 8.694
C 3.033 0.000 0.368
C 3.181 0.000 9.848
Cl 0.605 0.000 6.967
Cl 5.609 0.000 3.249
! Spin magnetization: 0.000 μB/cell
! DOS(E_F): 1.08 states/eV/f.u.
! Space group: No. 12

---

! Pm2CCl (PBE, relaxed); values from VASP
&SYSTEM
  ibrav = 0, nat = 4, ntyp = 3
/
ATOMIC_SPECIES
Pm 145.00 Pm.upf
C 12.01 C.upf
Cl 35.45 Cl.upf
CELL_PARAMETERS angstrom
1.865 1.077 7.180
-1.865 1.077 7.180
0.000 -2.153 7.180
ATOMIC_POSITIONS angstrom
Pm 0.000 0.000 0.000
Pm 0.000 0.000 4.448
C 0.000 0.000 13.008
Cl 0.000 0.000 9.371
! Spin magnetization: 0.000 μB/cell
! DOS(E_F): 2.07 states/eV/f.u.
! Space group: No. 160

---

! Pm8C4Cl3 (PBE, relaxed); values from VASP
&SYSTEM
  ibrav = 0, nat = 15, ntyp = 3
/
ATOMIC_SPECIES
Pm 145.00 Pm.upf
C 12.01 C.upf
Cl 35.45 Cl.upf
CELL_PARAMETERS angstrom
5.456 -5.492 0.000
5.456 5.492 0.000
-5.356 0.000 5.474
ATOMIC_POSITIONS angstrom
Pm -2.839 0.000 5.298
Pm -0.031 0.000 2.588
Pm 5.456 2.937 0.000
Pm 2.779 2.901 2.737
Pm 2.779 -2.901 2.737
Pm 5.456 -2.937 0.000
Pm 5.588 0.000 2.886
Pm 8.396 0.000 0.176
C 0.000 0.000 0.000
C -2.678 0.000 2.737
C 0.050 2.746 2.737
C 0.050 -2.746 2.737
Cl 2.728 2.746 0.000
Cl 2.728 -2.746 0.000
Cl 5.456 0.000 0.000
! Spin magnetization: 0.001 μB/cell
! DOS(E_F): 8.12 states/eV/f.u.
! Space group: No. 12

---

! Pm3C2Cl (PBE, relaxed); values from VASP
&SYSTEM
  ibrav = 0, nat = 12, ntyp = 3
/
ATOMIC_SPECIES
Pm 145.00 Pm.upf
C 12.01 C.upf
Cl 35.45 Cl.upf
CELL_PARAMETERS angstrom
-3.344 5.827 3.595
3.344 -5.827 3.595
3.344 5.827 -3.595
ATOMIC_POSITIONS angstrom
Pm 1.631 0.000 0.000
Pm 5.058 0.000 0.000
Pm -1.672 2.914 1.797
Pm 1.631 5.827 0.000
Pm 1.672 2.914 1.797
Pm 1.714 0.000 3.595
C 3.344 0.928 1.522
C 0.000 0.928 2.072
C 3.344 4.900 1.522
C 0.000 4.900 2.072
Cl 3.344 -2.914 2.833
Cl 0.000 8.741 0.761
! Spin magnetization: 0.000 μB/cell
! DOS(E_F): 2.29 states/eV/f.u.
! Space group: No. 74

---

! Pm2CCl3 (PBE, relaxed); values from VASP
&SYSTEM
  ibrav = 0, nat = 12, ntyp = 3
/
ATOMIC_SPECIES
Pm 145.00 Pm.upf
C 12.01 C.upf
Cl 35.45 Cl.upf
CELL_PARAMETERS angstrom
8.726 -2.044 0.000
8.726 2.044 0.000
-6.404 0.000 8.522
ATOMIC_POSITIONS angstrom
Pm -0.917 0.000 3.577
Pm 5.017 0.000 2.082
Pm 6.032 0.000 6.440
Pm 11.965 0.000 4.946
C -3.142 0.000 4.988
C 14.190 0.000 3.535
Cl -3.385 0.000 8.405
Cl 2.315 0.000 3.195
Cl 3.042 0.000 6.782
Cl 8.007 0.000 1.741
Cl 8.733 0.000 5.327
Cl 14.433 0.000 0.117
! Spin magnetization: 0.000 μB/cell
! DOS(E_F): 1.13 states/eV/f.u.
! Space group: No. 12

---

! Pm8C4Cl (PBE, relaxed); values from VASP
&SYSTEM
  ibrav = 0, nat = 13, ntyp = 3
/
ATOMIC_SPECIES
Pm 145.00 Pm.upf
C 12.01 C.upf
Cl 35.45 Cl.upf
CELL_PARAMETERS angstrom
0.000 5.479 5.479
5.479 0.000 5.479
5.479 5.479 0.000
ATOMIC_POSITIONS angstrom
Pm 4.287 4.287 4.287
Pm 6.671 6.671 4.287
Pm 6.671 4.287 6.671
Pm 9.442 6.995 6.995
Pm 4.287 6.671 6.671
Pm 6.995 9.442 6.995
Pm 6.995 6.995 9.442
Pm 9.442 9.442 9.442
C 6.860 4.099 4.099
C 4.099 6.860 4.099
C 4.099 4.099 6.860
C 6.860 6.860 6.860
Cl 2.740 2.740 2.740
! Spin magnetization: 0.006 μB/cell
! DOS(E_F): 10.71 states/eV/f.u.
! Space group: No. 216

---

! Pm4C2Cl3 (PBE, relaxed); values from VASP
&SYSTEM
  ibrav = 0, nat = 9, ntyp = 3
/
ATOMIC_SPECIES
Pm 145.00 Pm.upf
C 12.01 C.upf
Cl 35.45 Cl.upf
CELL_PARAMETERS angstrom
7.192 -1.793 0.000
7.192 1.793 0.000
-1.585 0.000 8.307
ATOMIC_POSITIONS angstrom
Pm 1.057 0.000 1.647
Pm 4.000 0.000 3.259
Pm 8.800 0.000 5.048
Pm 11.743 0.000 6.659
C 3.299 0.000 5.587
C 9.501 0.000 2.720
Cl -0.792 0.000 4.153
Cl 5.822 0.000 0.876
Cl 6.978 0.000 7.431
! Spin magnetization: 0.000 μB/cell
! DOS(E_F): 1.25 states/eV/f.u.
! Space group: No. 12

---

! Pm6C3Cl2 (PBE, relaxed); values from VASP
&SYSTEM
  ibrav = 0, nat = 11, ntyp = 3
/
ATOMIC_SPECIES
Pm 145.00 Pm.upf
C 12.01 C.upf
Cl 35.45 Cl.upf
CELL_PARAMETERS angstrom
3.271 -5.661 0.000
3.271 5.661 0.000
-2.188 0.000 6.773
ATOMIC_POSITIONS angstrom
Pm -0.013 1.874 5.411
Pm 1.076 0.000 1.369
Pm -0.013 -1.874 5.411
Pm 4.367 1.874 1.362
Pm 3.278 0.000 5.404
Pm 4.367 -1.874 1.362
C 3.271 3.756 0.000
C 3.271 0.000 0.000
C 3.271 -3.756 0.000
Cl 2.177 1.889 3.386
Cl 2.177 -1.889 3.386
! Spin magnetization: 0.337 μB/cell
! DOS(E_F): 5.99 states/eV/f.u.
! Space group: No. 12

---

! Pm4CCl5 (PBE, relaxed); values from VASP
&SYSTEM
  ibrav = 0, nat = 10, ntyp = 3
/
ATOMIC_SPECIES
Pm 145.00 Pm.upf
C 12.01 C.upf
Cl 35.45 Cl.upf
CELL_PARAMETERS angstrom
8.788 -1.922 0.000
8.788 1.922 0.000
-1.999 0.000 7.813
ATOMIC_POSITIONS angstrom
Pm -0.551 0.000 2.240
Pm 5.394 0.000 3.246
Pm 10.183 0.000 4.567
Pm 16.128 0.000 5.573
C 7.788 0.000 3.906
Cl 1.190 0.000 6.582
Cl 2.310 0.000 2.671
Cl 8.788 0.000 0.000
Cl 13.266 0.000 5.142
Cl 14.386 0.000 1.231
! Spin magnetization: 0.000 μB/cell
! DOS(E_F): 3.05 states/eV/f.u.
! Space group: No. 12

---

! Pm6CCl12 (PBE, relaxed); values from VASP
&SYSTEM
  ibrav = 0, nat = 19, ntyp = 3
/
ATOMIC_SPECIES
Pm 145.00 Pm.upf
C 12.01 C.upf
Cl 35.45 Cl.upf
CELL_PARAMETERS angstrom
4.901 2.830 5.783
-4.901 2.830 5.783
0.000 -5.660 5.783
ATOMIC_POSITIONS angstrom
Pm 0.000 -2.344 7.246
Pm -2.030 1.172 7.246
Pm -2.030 -1.172 10.103
Pm 2.030 1.172 7.246
Pm 2.030 -1.172 10.103
Pm 0.000 2.344 10.103
C 0.000 0.000 8.675
Cl 0.000 -3.518 4.520
Cl -3.047 1.759 4.520
Cl -2.685 -1.550 7.421
Cl -3.047 -1.759 12.829
Cl 0.000 -3.101 9.929
Cl -2.685 1.550 9.929
Cl 2.685 -1.550 7.421
Cl 0.000 3.101 7.421
Cl 3.047 1.759 4.520
Cl 2.685 1.550 9.929
Cl 3.047 -1.759 12.829
Cl 0.000 3.518 12.829
! Spin magnetization: 0.836 μB/cell
! DOS(E_F): 3.72 states/eV/f.u.
! Space group: No. 166

---

! PmPrCCl (PBE, relaxed); values from VASP
&SYSTEM
  ibrav = 0, nat = 4, ntyp = 4
/
ATOMIC_SPECIES
Pm 145.00 Pm.upf
Pr 140.91 Pr.upf
C 12.01 C.upf
Cl 35.45 Cl.upf
CELL_PARAMETERS angstrom
1.880 1.085 7.252
-1.880 1.085 7.252
0.000 -2.171 7.252
ATOMIC_POSITIONS angstrom
Pm 0.000 0.000 0.000
Pr 0.000 0.000 4.484
C 0.000 0.000 13.175
Cl 0.000 0.000 9.415
! Spin magnetization: 0.000 μB/cell
! DOS(E_F): 2.18 states/eV/f.u.
! Space group: No. 160

---

! Pm4RhCCl2 (PBE, relaxed); values from VASP
&SYSTEM
  ibrav = 0, nat = 8, ntyp = 4
/
ATOMIC_SPECIES
Pm 145.00 Pm.upf
Rh 102.91 Rh.upf
C 12.01 C.upf
Cl 35.45 Cl.upf
CELL_PARAMETERS angstrom
7.061 0.000 0.000
0.000 3.868 0.000
-2.106 0.000 7.133
ATOMIC_POSITIONS angstrom
Pm 1.125 0.000 1.360
Pm -0.004 1.934 5.697
Pm 4.958 1.934 1.436
Pm 3.830 0.000 5.773
Rh 3.531 0.000 0.000
C 0.000 1.934 0.000
Cl -1.053 0.000 3.566
Cl 2.477 1.934 3.566
! Spin magnetization: 0.000 μB/cell
! DOS(E_F): 5.73 states/eV/f.u.
! Space group: No. 10

---

! Pm8Ru3CCl3 (PBE, relaxed); values from VASP
&SYSTEM
  ibrav = 0, nat = 15, ntyp = 4
/
ATOMIC_SPECIES
Pm 145.00 Pm.upf
Ru 101.07 Ru.upf
C 12.01 C.upf
Cl 35.45 Cl.upf
CELL_PARAMETERS angstrom
4.017 2.319 7.353
-4.017 2.319 7.353
0.000 -4.639 7.353
ATOMIC_POSITIONS angstrom
Pm 0.000 0.000 5.271
Pm -1.905 -1.100 12.435
Pm 0.000 -2.200 9.624
Pm -1.905 1.100 9.624
Pm 1.905 -1.100 12.435
Pm 0.000 2.200 12.435
Pm 1.905 1.100 9.624
Pm 0.000 0.000 16.788
Ru -4.017 0.000 11.030
Ru -2.009 1.160 3.677
Ru 2.009 1.160 3.677
C 0.000 0.000 11.030
Cl -2.009 -1.160 7.353
Cl -2.009 1.160 14.706
Cl 0.000 2.319 7.353
! Spin magnetization: 0.001 μB/cell
! DOS(E_F): 8.26 states/eV/f.u.
! Space group: No. 166

---

! Pm4RuCCl2 (PBE, relaxed); values from VASP
&SYSTEM
  ibrav = 0, nat = 8, ntyp = 4
/
ATOMIC_SPECIES
Pm 145.00 Pm.upf
Ru 101.07 Ru.upf
C 12.01 C.upf
Cl 35.45 Cl.upf
CELL_PARAMETERS angstrom
6.939 0.000 0.000
0.000 3.866 0.000
-2.075 0.000 7.283
ATOMIC_POSITIONS angstrom
Pm 1.166 0.000 1.350
Pm -0.010 1.933 5.819
Pm 4.874 1.933 1.464
Pm 3.698 0.000 5.933
Ru 3.469 0.000 0.000
C 0.000 1.933 0.000
Cl -1.037 0.000 3.642
Cl 2.432 1.933 3.642
! Spin magnetization: 0.000 μB/cell
! DOS(E_F): 4.09 states/eV/f.u.
! Space group: No. 10

---

! Pm8C3SCl4 (PBE, relaxed); values from VASP
&SYSTEM
  ibrav = 0, nat = 16, ntyp = 4
/
ATOMIC_SPECIES
Pm 145.00 Pm.upf
C 12.01 C.upf
S 32.06 S.upf
Cl 35.45 Cl.upf
CELL_PARAMETERS angstrom
3.842 2.218 6.991
-3.842 2.218 6.991
0.000 -4.436 6.991
ATOMIC_POSITIONS angstrom
Pm -2.050 -1.183 11.860
Pm 0.000 0.000 4.839
Pm 0.000 -2.367 9.112
Pm -2.050 1.183 9.112
Pm 2.050 -1.183 11.860
Pm 0.000 2.367 11.860
Pm 0.000 0.000 16.133
Pm 2.050 1.183 9.112
C -3.842 0.000 10.486
C -1.921 1.109 3.495
C 1.921 1.109 3.495
S 0.000 0.000 10.486
Cl 0.000 0.000 0.000
Cl -1.921 -1.109 6.991
Cl -1.921 1.109 13.981
Cl 0.000 2.218 6.991
! Spin magnetization: 0.000 μB/cell
! DOS(E_F): 6.43 states/eV/f.u.
! Space group: No. 166

---

! Pm4CS2Cl (PBE, relaxed); values from VASP
&SYSTEM
  ibrav = 0, nat = 8, ntyp = 4
/
ATOMIC_SPECIES
Pm 145.00 Pm.upf
C 12.01 C.upf
S 32.06 S.upf
Cl 35.45 Cl.upf
CELL_PARAMETERS angstrom
6.805 0.000 0.000
0.000 3.912 0.000
-2.243 0.000 6.716
ATOMIC_POSITIONS angstrom
Pm 1.040 0.000 1.432
Pm -0.100 1.956 5.265
Pm 4.662 1.956 1.451
Pm 3.522 0.000 5.284
C 0.000 1.956 0.000
S 3.403 0.000 0.000
S 2.281 1.956 3.358
Cl -1.122 0.000 3.358
! Spin magnetization: 0.000 μB/cell
! DOS(E_F): 2.71 states/eV/f.u.
! Space group: No. 10

---

| no. | DFT total energy (eV/cell) | raw formation energy (eV/f.u.) |
| --- | --- | --- |
| 1 | -32.381 | -0.328 |
| 2 | -85.090 | -8.779 |
| 3 | -60.273 | -4.877 |
| 4 | -24.777 | -4.206 |
| 5 | -38.970 | -3.664 |
| 6 | -24.695 | -4.123 |
| 7 | -90.682 | -10.242 |
| 8 | -71.473 | -1.190 |
| 9 | -67.458 | -9.464 |
| 10 | -80.171 | -3.424 |
| 11 | -53.059 | -10.069 |
| 12 | -68.509 | -8.641 |
| 13 | -54.516 | -17.057 |
| 14 | -94.108 | -34.221 |
| 15 | -24.638 | -4.037 |
| 16 | -47.378 | -8.106 |
| 17 | -91.144 | -10.548 |
| 18 | -48.497 | -7.302 |
| 19 | -96.816 | -19.626 |
| 20 | -50.131 | -11.803 |